1.
The following is a meta-GGA SCAN calculation of a PBEsol-optimized structure of InH3Ir, from Alexandria via LeMat-Bulk.

As for the crystal system: cubic. Its final energy is -113.6 eV per cell.

The structure belongs to space group Pm-3m (No. 221); the cell edges are 3.6228, 3.6228 and 3.6228 Å and the angles 90.00°, 90.00° and 90.00°. Symmetry generates all atoms from In at (0.0000, 0.0000, 0.0000), H at (0.0000, 0.5000, 0.5000) and Ir at (0.5000, 0.5000, 0.5000).

2.
The following is a meta-GGA SCAN calculation of a PBEsol-optimized structure of Te2WBrN, from Alexandria via LeMat-Bulk.

As for the crystal system: tetragonal. Its uncorrected formation energy is 0.346 eV/atom.

The structure belongs to space group P4/mmm (No. 123); the cell edges are 5.3903, 5.3903 and 3.8101 Å and the angles 90.00°, 90.00° and 90.00°. Symmetry generates all atoms from Te at (0.0000, 0.5000, 0.0000), W at (0.0000, 0.0000, 0.0000), Br at (0.5000, 0.5000, 0.5000) and N at (0.0000, 0.0000, 0.5000).

3.
The following is a meta-GGA SCAN calculation of a PBEsol-optimized structure of B3WCl, from Alexandria via LeMat-Bulk.

As for the crystal system: cubic. Its uncorrected formation energy is 1.779 eV/atom.

The structure belongs to space group Pm-3m (No. 221); the cell edges are 4.2789, 4.2789 and 4.2789 Å and the angles 90.00°, 90.00° and 90.00°. Symmetry generates all atoms from B at (0.0000, 0.0000, 0.5000), W at (0.0000, 0.0000, 0.0000) and Cl at (0.5000, 0.5000, 0.5000).

| no. | magnetic moment (μB/atom) |
| --- | --- |
| 1 | 0.00 |
| 2 | 0.11 |
| 3 | 0.38 |